No. 1
Here is crystalline SrVCoCu2 at its relaxed geometry from the Alexandria database. Energies are from PBE-GGA.

Properties
density	5.10	g/cm3
space group	P4/mmm (123)
uncorrected energy	-4.135	eV/atom
DFT formation energy	1.084	eV per atom
spin magnetization	1.05	μB/atom

a = 4.6216 Å, b = 4.9515 Å, c = 4.6216 Å
α = 90.00°, β = 90.00°, γ = 90.00°
Each line ends with the local moment (μB).
Sites, in units of the cell vectors:
1 Cu 0.5000 0.0000 0.0000  0.04
2 Cu 0.0000 0.0000 0.5000  0.09
3 Co 0.0000 0.0000 0.0000  1.28
4 V 0.5000 0.5000 0.5000  3.03
5 Sr 0.0000 0.5000 0.0000  0.05

No. 2
Here is crystalline TaCoCu at its relaxed geometry from the Alexandria database. Energies are from PBE-GGA.

Properties
density	10.93	g/cm3
space group	F-43m (216)
E above lowest polymorph	37.8	kJ/mol of atoms
uncorrected energy	-7.360	eV/atom
DFT formation energy	0.325	eV per atom
spin magnetization	0.00	μB/atom

a = 4.0244 Å, b = 4.0244 Å, c = 4.0244 Å
α = 60.00°, β = 60.00°, γ = 60.00°
Sites, in units of the cell vectors:
1 Co 0.7500 0.7500 0.7500
2 Cu 0.0000 0.0000 0.0000
3 Ta 0.5000 0.5000 0.5000

No. 3
Here is crystalline TaCo2Cu at its relaxed geometry from the Alexandria database. Energies are from PBE-GGA.

Properties
density	11.00	g/cm3
space group	I-42d (122)
uncorrected energy	-7.144	eV/atom
DFT formation energy	0.396	eV per atom
spin magnetization	0.00	μB/atom

a = 6.4518 Å, b = 6.4518 Å, c = 5.2647 Å
α = 52.21°, β = 52.21°, γ = 90.00°
Sites, in units of the cell vectors:
1 Ta 0.7500 0.2500 0.5000
2 Ta 0.0000 0.0000 0.0000
3 Co 0.8750 0.8748 0.7500
4 Co 0.3750 0.3752 0.7500
5 Co 0.1252 0.6250 0.2500
6 Co 0.6248 0.1250 0.2500
7 Cu 0.5000 0.5000 0.0000
8 Cu 0.2500 0.7500 0.5000

No. 4
Here is crystalline TaCo2Cu at its relaxed geometry from the Alexandria database. Energies are from PBE-GGA.

Properties
density	11.37	g/cm3
space group	R-3m (166)
uncorrected energy	-7.286	eV/atom
DFT formation energy	0.254	eV per atom
spin magnetization	0.34	μB/atom

a = 8.4960 Å, b = 8.4960 Å, c = 8.4960 Å
α = 18.32°, β = 18.32°, γ = 18.32°
Each line ends with the local moment (μB).
Sites, in units of the cell vectors:
1 Co 0.9973 0.9973 0.9973  0.79
2 Co 0.5027 0.5027 0.5027  0.79
3 Cu 0.2500 0.2500 0.2500  0.00
4 Ta 0.7500 0.7500 0.7500  -0.10

No. 5
Here is crystalline TaCo2Cu at its relaxed geometry from the Alexandria database. Energies are from PBE-GGA.

Properties
density	11.53	g/cm3
space group	P4mm (99)
uncorrected energy	-7.445	eV/atom
DFT formation energy	0.095	eV per atom
spin magnetization	0.77	μB/atom

a = 2.7907 Å, b = 2.7907 Å, c = 6.6982 Å
α = 90.00°, β = 90.00°, γ = 90.00°
Each line ends with the local moment (μB).
Sites, in units of the cell vectors:
1 Cu 0.0000 0.0000 0.4690  0.01
2 Co 0.0000 0.0000 0.0377  1.45
3 Co 0.5000 0.5000 0.2361  1.67
4 Ta 0.5000 0.5000 0.7571  0.01

No. 6
Here is crystalline TaCoCu at its relaxed geometry from the Alexandria database. Energies are from PBE-GGA.

Properties
density	12.34	g/cm3
space group	I4mm (107)
E above lowest polymorph	0.0	kJ/mol of atoms
uncorrected energy	-7.752	eV/atom
DFT formation energy	-0.067	eV per atom
spin magnetization	0.00	μB/atom

a = 4.6183 Å, b = 4.6184 Å, c = 3.1811 Å
α = 69.85°, β = 69.86°, γ = 40.29°
Sites, in units of the cell vectors:
1 Ta 0.6575 0.6575 0.3425
2 Co 0.0059 0.0059 0.9941
3 Cu 0.3366 0.3366 0.6634

No. 7
Here is crystalline TaCoCu4 at its relaxed geometry from the Alexandria database. Energies are from PBE-GGA.

Properties
density	10.85	g/cm3
space group	F-43m (216)
uncorrected energy	-5.799	eV/atom
DFT formation energy	0.091	eV per atom
spin magnetization	0.04	μB/atom

a = 4.7472 Å, b = 4.7472 Å, c = 4.7472 Å
α = 60.00°, β = 60.00°, γ = 60.00°
Each line ends with the local moment (μB).
Sites, in units of the cell vectors:
1 Cu 0.1234 0.6255 0.6255  -0.02
2 Cu 0.6255 0.1234 0.6255  -0.02
3 Cu 0.6255 0.6255 0.6255  -0.02
4 Cu 0.6255 0.6255 0.1234  -0.02
5 Co 0.0000 0.0000 0.0000  0.57
6 Ta 0.2500 0.2500 0.2500  -0.15

No. 8
Here is crystalline TaCo2Cu at its relaxed geometry from the Alexandria database. Energies are from PBE-GGA.

Properties
density	11.25	g/cm3
space group	R3m (160)
uncorrected energy	-7.294	eV/atom
DFT formation energy	0.246	eV per atom
spin magnetization	0.71	μB/atom

a = 8.6892 Å, b = 8.6892 Å, c = 8.6892 Å
α = 17.80°, β = 17.80°, γ = 17.80°
Each line ends with the local moment (μB).
Sites, in units of the cell vectors:
1 Co 0.2528 0.2528 0.2528  1.66
2 Co 0.9927 0.9927 0.9927  1.43
3 Cu 0.5062 0.5062 0.5062  0.02
4 Ta 0.7483 0.7483 0.7483  -0.13